No. 1
The following is a DFT calculation (PBE) of a relaxed structure of HoTmGa2Co4.

Volume: 128 Å³/cell
E: -45.82 eV/cell
Size of the total moment: 1.3 μB/cell

Geometry as CIF:
```
data_HoTmGa2Co4
_space_group_name_H-M_alt 'P -6 m 2'
_space_group_IT_number 187
_space_group_name_Hall 'P -6 2'
_cell_length_a 4.1026
_cell_length_b 4.1026
_cell_length_c 8.7531
_cell_angle_alpha 90.00
_cell_angle_beta 90.00
_cell_angle_gamma 120.00
loop_
_atom_site_label
_atom_site_type_symbol
_atom_site_fract_x
_atom_site_fract_y
_atom_site_fract_z
Ho1 Ho 0.0000 0.0000 0.0000
Tm1 Tm 0.6667 0.3333 0.5000
Ga1 Ga 0.3333 0.6667 0.2515
Co1 Co 0.0000 0.0000 0.3168
Co2 Co 0.6667 0.3333 0.1876
```

---

No. 2
The following is a DFT calculation (PBE) of a relaxed structure of Cu2Ag3.

Relative energy among the computed polymorphs: 1.39 kcal/mol of atoms
Volume: 310 Å³/cell
E: -61.77 eV/cell
Formation energy: 0.46 eV per formula unit

Geometry as CIF:
```
data_Cu2Ag3
_space_group_name_H-M_alt 'C 1 2/m 1'
_space_group_IT_number 12
_cell_length_a 8.9587
_cell_length_b 3.9342
_cell_length_c 8.7994
_cell_angle_alpha 90.00
_cell_angle_beta 91.63
_cell_angle_gamma 90.00
loop_
_space_group_symop_operation_xyz
'x,y,z'
'-x,-y,-z'
'-x,y,-z'
'x,-y,z'
'x+1/2,y+1/2,z'
'-x+1/2,-y+1/2,-z'
'-x+1/2,y+1/2,-z'
'x+1/2,-y+1/2,z'
loop_
_atom_site_label
_atom_site_type_symbol
_atom_site_fract_x
_atom_site_fract_y
_atom_site_fract_z
Cu1 Cu 0.0499 0.0000 0.3548
Cu2 Cu 0.2479 0.0000 0.7432
Ag1 Ag 0.0449 0.5000 0.8385
Ag2 Ag 0.1505 0.5000 0.5470
Ag3 Ag 0.1536 0.0000 0.0586
```

---

No. 3
The following is a DFT calculation (PBE) of a relaxed structure of PmNdBi2.

Volume: 135 Å³/cell
E: -21.45 eV/cell
Size of the total moment: 0.0 μB/cell

Geometry as CIF:
```
data_PmNdBi2
_space_group_name_H-M_alt 'P 4/m m m'
_space_group_IT_number 123
_space_group_name_Hall '-P 4 2'
_cell_length_a 4.5656
_cell_length_b 4.5656
_cell_length_c 6.4564
_cell_angle_alpha 90.00
_cell_angle_beta 90.00
_cell_angle_gamma 90.00
loop_
_atom_site_label
_atom_site_type_symbol
_atom_site_fract_x
_atom_site_fract_y
_atom_site_fract_z
Pm1 Pm 0.0000 0.0000 0.0000
Nd1 Nd 0.5000 0.5000 0.5000
Bi1 Bi 0.0000 0.0000 0.5000
Bi2 Bi 0.5000 0.5000 0.0000
```

---

No. 4
The following is a DFT calculation (PBE) of a relaxed structure of TbTmAl2Pd4.

Volume: 149 Å³/cell
E: -44.91 eV/cell
Size of the total moment: 0.0 μB/cell

Geometry as CIF:
```
data_TbTmAl2Pd4
_space_group_name_H-M_alt 'P -6 m 2'
_space_group_IT_number 187
_space_group_name_Hall 'P -6 2'
_cell_length_a 4.3585
_cell_length_b 4.3585
_cell_length_c 9.0743
_cell_angle_alpha 90.00
_cell_angle_beta 90.00
_cell_angle_gamma 120.00
loop_
_atom_site_label
_atom_site_type_symbol
_atom_site_fract_x
_atom_site_fract_y
_atom_site_fract_z
Tb1 Tb 0.0000 0.0000 0.0000
Tm1 Tm 0.6667 0.3333 0.5000
Al1 Al 0.3333 0.6667 0.2520
Pd1 Pd 0.0000 0.0000 0.3346
Pd2 Pd 0.6667 0.3333 0.1727
```

---

No. 5
The following is a DFT calculation (PBE) of a relaxed structure of NaBIr.

Volume: 160 Å³/cell
E: -59.93 eV/cell
Size of the total moment: 0.0 μB/cell

Geometry as CIF:
```
data_NaBIr
_space_group_name_H-M_alt 'F -4 3 m'
_space_group_IT_number 216
_space_group_name_Hall 'F -4 2 3'
_cell_length_a 5.4257
_cell_length_b 5.4257
_cell_length_c 5.4257
_cell_angle_alpha 90.00
_cell_angle_beta 90.00
_cell_angle_gamma 90.00
loop_
_atom_site_label
_atom_site_type_symbol
_atom_site_fract_x
_atom_site_fract_y
_atom_site_fract_z
Na1 Na 0.0000 0.0000 0.0000
B1 B 0.2500 0.2500 0.7500
Ir1 Ir 0.0000 0.0000 0.5000
```

---

No. 6
The following is a DFT calculation (PBE) of a relaxed structure of ZnCuSnW.

Relative energy among the computed polymorphs: 3.34 kcal/mol of atoms
Volume: 262 Å³/cell
E: -75.90 eV/cell
Size of the total moment: 5.8 μB/cell

Geometry as CIF:
```
data_ZnCuSnW
_space_group_name_H-M_alt 'F -4 3 m'
_space_group_IT_number 216
_space_group_name_Hall 'F -4 2 3'
_cell_length_a 6.4010
_cell_length_b 6.4010
_cell_length_c 6.4010
_cell_angle_alpha 90.00
_cell_angle_beta 90.00
_cell_angle_gamma 90.00
loop_
_atom_site_label
_atom_site_type_symbol
_atom_site_fract_x
_atom_site_fract_y
_atom_site_fract_z
Zn1 Zn 0.0000 0.0000 0.0000
Cu1 Cu 0.0000 0.0000 0.5000
Sn1 Sn 0.2500 0.2500 0.2500
W1 W 0.2500 0.2500 0.7500
```

---

No. 7
The following is a DFT calculation (PBE) of a relaxed structure of LaZrNO.

Relative energy among the computed polymorphs: 0.19 kcal/mol of atoms
Volume: 139 Å³/cell
E: -69.11 eV/cell
Size of the total moment: 0.0 μB/cell

Geometry as CIF:
```
data_LaZrNO
_space_group_name_H-M_alt 'P m c 21'
_space_group_IT_number 26
_cell_length_a 4.2454
_cell_length_b 5.9176
_cell_length_c 5.5396
_cell_angle_alpha 90.00
_cell_angle_beta 90.00
_cell_angle_gamma 90.00
loop_
_space_group_symop_operation_xyz
'x,y,z'
'-x,-y,z+1/2'
'-x,y,z'
'x,-y,z+1/2'
loop_
_atom_site_label
_atom_site_type_symbol
_atom_site_fract_x
_atom_site_fract_y
_atom_site_fract_z
La1 La 0.0000 0.2090 0.0000
Zr1 Zr 0.5000 0.2655 0.5224
N1 N 0.0000 0.2050 0.5189
O1 O 0.5000 0.4109 0.8722
```

---

No. 8
The following is a DFT calculation (PBE) of a relaxed structure of BeZnAsO.

Relative energy among the computed polymorphs: 0.63 kcal/mol of atoms
Volume: 108 Å³/cell
E: -37.03 eV/cell

Geometry as CIF:
```
data_BeZnAsO
_space_group_name_H-M_alt 'P m c 21'
_space_group_IT_number 26
_cell_length_a 3.0532
_cell_length_b 6.5999
_cell_length_c 5.3470
_cell_angle_alpha 90.00
_cell_angle_beta 90.00
_cell_angle_gamma 90.00
loop_
_space_group_symop_operation_xyz
'x,y,z'
'-x,-y,z+1/2'
'-x,y,z'
'x,-y,z+1/2'
loop_
_atom_site_label
_atom_site_type_symbol
_atom_site_fract_x
_atom_site_fract_y
_atom_site_fract_z
Be1 Be 0.0000 0.0886 0.0000
Zn1 Zn 0.5000 0.2927 0.3791
As1 As 0.5000 0.3371 0.8360
O1 O 0.0000 0.0861 0.2977
```

---

No. 9
The following is a DFT calculation (PBE) of a relaxed structure of YHoZn2Pb2.

Relative energy among the computed polymorphs: 0.00 kcal/mol of atoms
Volume: 291 Å³/cell
E: -46.84 eV/cell
Size of the total moment: 0.0 μB/cell

Geometry as CIF:
```
data_YHoZn2Pb2
_space_group_name_H-M_alt 'P 63/m m c'
_space_group_IT_number 194
_space_group_name_Hall '-P 6c 2c'
_cell_length_a 4.5789
_cell_length_b 4.5789
_cell_length_c 16.0263
_cell_angle_alpha 90.00
_cell_angle_beta 90.00
_cell_angle_gamma 120.00
loop_
_atom_site_label
_atom_site_type_symbol
_atom_site_fract_x
_atom_site_fract_y
_atom_site_fract_z
Y1 Y 0.0000 0.0000 0.0000
Ho1 Ho 0.0000 0.0000 0.2500
Zn1 Zn 0.3333 0.6667 0.1657
Pb1 Pb 0.3333 0.6667 0.6106
```

---

No. 10
The following is a DFT calculation (PBE) of a relaxed structure of Ag3SeF.

Volume: 392 Å³/cell
E: -65.07 eV/cell

Geometry as CIF:
```
data_Ag3SeF
_space_group_name_H-M_alt 'P 1 21/c 1'
_space_group_IT_number 14
_cell_length_a 6.8834
_cell_length_b 5.4727
_cell_length_c 11.3875
_cell_angle_alpha 90.00
_cell_angle_beta 113.81
_cell_angle_gamma 90.00
loop_
_space_group_symop_operation_xyz
'x,y,z'
'-x,-y,-z'
'-x,y+1/2,-z+1/2'
'x,-y+1/2,z+1/2'
loop_
_atom_site_label
_atom_site_type_symbol
_atom_site_fract_x
_atom_site_fract_y
_atom_site_fract_z
Ag1 Ag 0.0626 0.0568 0.2484
Ag2 Ag 0.1364 0.2092 0.9923
Ag3 Ag 0.3965 0.0232 0.8620
Se1 Se 0.2150 0.7038 0.9585
F1 F 0.3775 0.1912 0.2123
```

---

No. 11
The following is a DFT calculation (PBE) of a relaxed structure of Gd2DyFe9.

Volume: 540 Å³/cell
E: -267.66 eV/cell
Formation energy: -0.53 eV per formula unit
Size of the total moment: 52.0 μB/cell

Geometry as CIF:
```
data_Gd2DyFe9
_space_group_name_H-M_alt 'R -3 m'
_space_group_IT_number 166
_space_group_name_Hall '-R 3 2"'
_cell_length_a 5.0665
_cell_length_b 5.0665
_cell_length_c 24.3027
_cell_angle_alpha 90.00
_cell_angle_beta 90.00
_cell_angle_gamma 120.00
loop_
_atom_site_label
_atom_site_type_symbol
_atom_site_fract_x
_atom_site_fract_y
_atom_site_fract_z
Gd1 Gd 0.0000 0.0000 0.1417
Dy1 Dy 0.0000 0.0000 0.0000
Fe1 Fe 0.0000 0.0000 0.3327
Fe2 Fe 0.0000 0.0000 0.5000
Fe3 Fe 0.0015 0.5008 0.0807
```

---

- Which formula does entry 9 have?
  YHoZn2Pb2